1.
# PBE InS4, optimized geometry
# Excess energy over the best structure of this formula in the dataset ... 0 meV/atom
# Size of the total moment ... 0.000 μB per atom
data_InS4
_chemical_formula_sum 'In2 S8'
_symmetry_space_group_name_H-M 'P 1'
_symmetry_Int_Tables_number 1
_symmetry_space_group_name_Hall 'P 1'
_cell_length_a 4.618
_cell_length_b 7.588
_cell_length_c 8.519
_cell_angle_alpha 73.96
_cell_angle_beta 89.94
_cell_angle_gamma 72.73
loop_
_atom_site_label
_atom_site_type_symbol
_atom_site_fract_x
_atom_site_fract_y
_atom_site_fract_z
In1 In 0.000 0.000 0.000
In2 In 0.466 0.999 0.501
S1 S 0.061 0.814 0.635
S2 S 0.104 0.710 0.881
S3 S 0.302 0.177 0.730
S4 S 0.564 0.284 0.287
S5 S 0.585 0.815 0.134
S6 S 0.623 0.285 0.786
S7 S 0.642 0.710 0.380
S8 S 0.991 0.176 0.230

=====

2.
# PBE Tb10Pr4Er, optimized geometry
# Energy relative to the elements ... 0.258 eV/atom
# Size of the total moment ... 0.000 μB per atom
data_Tb10Pr4Er
_chemical_formula_sum 'Tb20 Pr8 Er2'
_symmetry_space_group_name_H-M 'I 4/m m m'
_symmetry_Int_Tables_number 139
_symmetry_space_group_name_Hall '-I 4 2'
_cell_length_a 11.366
_cell_length_b 11.366
_cell_length_c 7.974
_cell_angle_alpha 90.00
_cell_angle_beta 90.00
_cell_angle_gamma 90.00
loop_
_atom_site_label
_atom_site_type_symbol
_atom_site_fract_x
_atom_site_fract_y
_atom_site_fract_z
Tb1 Tb 0.000 0.208 0.208
Tb2 Tb 0.000 0.500 0.250
Pr1 Pr 0.228 0.228 0.500
Er1 Er 0.000 0.000 0.500

=====

3.
# PBE Pr2GaB3Rh12, optimized geometry
# Energy relative to the elements ... -0.160 eV/atom
# Size of the total moment ... 0.000 μB per atom
data_Pr2GaB3Rh12
_chemical_formula_sum 'Pr6 Ga3 B9 Rh36'
_symmetry_space_group_name_H-M 'R -3 m'
_symmetry_Int_Tables_number 166
_symmetry_space_group_name_Hall '-R 3 2"'
_cell_length_a 7.6104
_cell_length_b 7.6104
_cell_length_c 16.9489
_cell_angle_alpha 90.00
_cell_angle_beta 90.00
_cell_angle_gamma 120.00
loop_
_atom_site_label
_atom_site_type_symbol
_atom_site_fract_x
_atom_site_fract_y
_atom_site_fract_z
Pr1 Pr 0.0000 0.0000 0.0923
Ga1 Ga 0.0000 0.0000 0.5000
B1 B 0.0000 0.5000 0.0000
Rh1 Rh 0.0498 0.5249 0.8771
Rh2 Rh 0.0745 0.5372 0.3068

=====

4.
# PBE NaAgPb, optimized geometry
# Energy relative to the elements ... -0.037 eV/atom
# Size of the total moment ... 0.000 μB per atom
data_NaAgPb
_chemical_formula_sum 'Na2 Ag2 Pb2'
_symmetry_space_group_name_H-M 'I 4 m m'
_symmetry_Int_Tables_number 107
_symmetry_space_group_name_Hall 'I 4 -2'
_cell_length_a 3.698
_cell_length_b 3.698
_cell_length_c 11.149
_cell_angle_alpha 90.00
_cell_angle_beta 90.00
_cell_angle_gamma 90.00
loop_
_atom_site_label
_atom_site_type_symbol
_atom_site_fract_x
_atom_site_fract_y
_atom_site_fract_z
Na1 Na 0.000 0.000 0.000
Ag1 Ag 0.000 0.000 0.331
Pb1 Pb 0.000 0.000 0.697

=====

5.
# PBE La2As4Ir3, optimized geometry
# Energy relative to the elements ... -0.734 eV/atom
# Size of the total moment ... 0.000 μB per atom
data_La2As4Ir3
_chemical_formula_sum 'La8 As16 Ir12'
_symmetry_space_group_name_H-M 'F m m m'
_symmetry_Int_Tables_number 69
_symmetry_space_group_name_Hall '-F 2 2'
_cell_length_a 5.680
_cell_length_b 10.090
_cell_length_c 12.731
_cell_angle_alpha 90.00
_cell_angle_beta 90.00
_cell_angle_gamma 90.00
loop_
_atom_site_label
_atom_site_type_symbol
_atom_site_fract_x
_atom_site_fract_y
_atom_site_fract_z
La1 La 0.000 0.000 0.138
As1 As 0.000 0.160 0.349
Ir1 Ir 0.000 0.000 0.500
Ir2 Ir 0.250 0.250 0.000

=====

6.
# PBE CsH8Se2, optimized geometry
# E_tot ... -69.39 eV for the cell shown
# Size of the total moment ... 0.053 μB per atom
data_CsH8Se2
_chemical_formula_sum 'Cs2 H16 Se4'
_symmetry_space_group_name_H-M 'C 1 2/m 1'
_symmetry_Int_Tables_number 12
_symmetry_space_group_name_Hall '-C 2y'
_cell_length_a 7.440
_cell_length_b 19.153
_cell_length_c 3.344
_cell_angle_alpha 90.00
_cell_angle_beta 94.66
_cell_angle_gamma 90.00
loop_
_atom_site_label
_atom_site_type_symbol
_atom_site_fract_x
_atom_site_fract_y
_atom_site_fract_z
Cs1 Cs 0.000 0.000 0.000
H1 H 0.000 0.193 0.000
H2 H 0.002 0.500 0.112
H3 H 0.050 0.362 0.494
Se1 Se 0.000 0.162 0.500

=====

7.
# PBE SrZnAsCl, optimized geometry
# E_tot ... -88.45 eV for the cell shown
# Size of the total moment ... 0.000 μB per atom
data_SrZnAsCl
_chemical_formula_sum 'Sr6 Zn6 As6 Cl6'
_symmetry_space_group_name_H-M 'R -3 m'
_symmetry_Int_Tables_number 166
_symmetry_space_group_name_Hall '-R 3 2"'
_cell_length_a 4.3107
_cell_length_b 4.3107
_cell_length_c 40.5496
_cell_angle_alpha 90.00
_cell_angle_beta 90.00
_cell_angle_gamma 120.00
loop_
_atom_site_label
_atom_site_type_symbol
_atom_site_fract_x
_atom_site_fract_y
_atom_site_fract_z
Sr1 Sr 0.0000 0.0000 0.0900
Zn1 Zn 0.0000 0.0000 0.3102
As1 As 0.0000 0.0000 0.3745
Cl1 Cl 0.0000 0.0000 0.2071

=====

8.
# PBE BaPt13, optimized geometry
# Energy relative to the elements ... -0.145 eV/atom
# Size of the total moment ... 0.000 μB per atom
data_BaPt13
_chemical_formula_sum 'Ba8 Pt104'
_symmetry_space_group_name_H-M 'F m -3 c'
_symmetry_Int_Tables_number 226
_symmetry_space_group_name_Hall '-F 4a 2 3'
_cell_length_a 12.697
_cell_length_b 12.697
_cell_length_c 12.697
_cell_angle_alpha 90.00
_cell_angle_beta 90.00
_cell_angle_gamma 90.00
loop_
_atom_site_label
_atom_site_type_symbol
_atom_site_fract_x
_atom_site_fract_y
_atom_site_fract_z
Ba1 Ba 0.250 0.250 0.250
Pt1 Pt 0.000 0.000 0.000
Pt2 Pt 0.000 0.118 0.183

=====

9.
# PBE La8SnRu3Br4, optimized geometry
# E_tot ... -278.88 eV for the cell shown
# Size of the total moment ... 0.000 μB per atom
data_La8SnRu3Br4
_chemical_formula_sum 'La24 Sn3 Ru9 Br12'
_symmetry_space_group_name_H-M 'R -3 m'
_symmetry_Int_Tables_number 166
_symmetry_space_group_name_Hall '-R 3 2"'
_cell_length_a 8.6251
_cell_length_b 8.6251
_cell_length_c 23.3861
_cell_angle_alpha 90.00
_cell_angle_beta 90.00
_cell_angle_gamma 120.00
loop_
_atom_site_label
_atom_site_type_symbol
_atom_site_fract_x
_atom_site_fract_y
_atom_site_fract_z
La1 La 0.0000 0.0000 0.2362
La2 La 0.0284 0.5142 0.7681
Sn1 Sn 0.0000 0.0000 0.5000
Ru1 Ru 0.0000 0.5000 0.5000
Br1 Br 0.0000 0.0000 0.0000
Br2 Br 0.0000 0.5000 0.0000

=====

10.
# PBE ScSiSb2S, optimized geometry
# E_tot ... -20.56 eV for the cell shown
# Size of the total moment ... 0.002 μB per atom
data_ScSiSb2S
_chemical_formula_sum 'Sc1 Si1 Sb2 S1'
_symmetry_space_group_name_H-M 'P 4/m m m'
_symmetry_Int_Tables_number 123
_symmetry_space_group_name_Hall '-P 4 2'
_cell_length_a 5.440
_cell_length_b 5.440
_cell_length_c 5.029
_cell_angle_alpha 90.00
_cell_angle_beta 90.00
_cell_angle_gamma 90.00
loop_
_atom_site_label
_atom_site_type_symbol
_atom_site_fract_x
_atom_site_fract_y
_atom_site_fract_z
Sc1 Sc 0.000 0.000 0.000
Si1 Si 0.000 0.000 0.500
Sb1 Sb 0.000 0.500 0.000
S1 S 0.500 0.500 0.500

=====

Number 1 is which compound? InS4